1.
Density functional theory data (GGA-PBE) for SbW after structural relaxation.

Unit cell a=4.790 b=4.790 c=4.790 alpha=60.00 beta=60.00 gamma=60.00
Sites, in units of the cell vectors:
Sb (0.125, 0.125, 0.125)
Sb (0.875, 0.875, 0.875)
W (0.375, 0.375, 0.375)
W (0.625, 0.625, 0.625)

Values from the calculation:
Energy: -30.45 eV per cell
Magnetic moment: 0.0 μB per formula unit
Energy relative to the elements, uncorrected: 927 meV per atom
Relative energy among the computed polymorphs: 0.656 eV/atom

---

2.
Density functional theory data (GGA-PBE) for SbW after structural relaxation.

Unit cell a=3.212 b=3.212 c=8.529 alpha=90.00 beta=90.00 gamma=120.00
Sites, in units of the cell vectors:
Sb (0.000, 0.000, 0.000)
Sb (0.000, 0.000, 0.500)
W (0.333, 0.667, 0.250)
W (0.667, 0.333, 0.750)

Values from the calculation:
Energy: -31.17 eV per cell
Magnetic moment: 0.0 μB per formula unit
Energy relative to the elements, uncorrected: 746 meV per atom
Relative energy among the computed polymorphs: 0.475 eV/atom

---

3.
Density functional theory data (GGA-PBE) for SbW2 after structural relaxation.

Unit cell a=4.431 b=4.431 c=4.431 alpha=60.00 beta=60.00 gamma=60.00
Sites, in units of the cell vectors:
Sb (0.000, 0.000, 0.000)
W (0.250, 0.250, 0.250)
W (0.750, 0.750, 0.750)

Values from the calculation:
Energy: -25.67 eV per cell
Magnetic moment: 0.0 μB per formula unit
Energy relative to the elements, uncorrected: 1454 meV per atom
Relative energy among the computed polymorphs: 0.995 eV/atom

---

4.
Density functional theory data (GGA-PBE) for SbW after structural relaxation.

Unit cell a=3.030 b=3.030 c=10.219 alpha=93.65 beta=93.65 gamma=68.67
Sites, in units of the cell vectors:
Sb (0.141, 0.141, 0.323)
Sb (0.859, 0.859, 0.677)
W (0.231, 0.231, 0.903)
W (0.769, 0.769, 0.097)

Values from the calculation:
Energy: -32.62 eV per cell
Magnetic moment: 0.0 μB per formula unit
Energy relative to the elements, uncorrected: 383 meV per atom
Relative energy among the computed polymorphs: 0.113 eV/atom

---

- The highest relative energy among the computed polymorphs belongs to which entry?
  SbW2

---

- The lowest relative energy among the computed polymorphs belongs to which entry?
  number 4